(1)
First-principles (SCAN) data for a PBEsol-optimized structure of CaTc3Ni, as listed in the Alexandria database.

a b c (Å): 4.4773 4.4773 4.4773
angles (deg): 90.00 90.00 90.00
Last column: nearest neighbours and their distance in Å.
Fractional coordinates of all 5 atoms:
1 Ca 0.0000 0.0000 0.0000  12 Tc 3.17
2 Tc 0.0000 0.5000 0.5000  2 Ni 2.24
3 Tc 0.5000 0.0000 0.5000  2 Ni 2.24
4 Tc 0.5000 0.5000 0.0000  2 Ni 2.24
5 Ni 0.5000 0.5000 0.5000  6 Tc 2.24

ΔH_f (0 K) (meV per atom): 1248.5
D(E_F) (states/eV per cell): 6.72
Total moment (Bohr magnetons per cell): 0.77
Calculated total energy (eV per atom): -24.95

(2)
First-principles (SCAN) data for a PBEsol-optimized structure of HgSbPt2, as listed in the Alexandria database.

a b c (Å): 4.7416 4.7416 3.2226
angles (deg): 90.00 90.00 90.00
Last column: nearest neighbours and their distance in Å.
Fractional coordinates of all 4 atoms:
1 Hg 0.0000 0.0000 0.0000  8 Pt 2.87
2 Sb 0.5000 0.5000 0.0000  8 Pt 2.87
3 Pt 0.0000 0.5000 0.5000  4 Hg 2.87, 4 Sb 2.87
4 Pt 0.5000 0.0000 0.5000  4 Hg 2.87, 4 Sb 2.87

D(E_F) (states/eV per cell): 1.70
Total moment (Bohr magnetons per cell): 0.00
Calculated total energy (eV per atom): -61.37

(3)
First-principles (SCAN) data for a PBEsol-optimized structure of CaCdSe2, as listed in the Alexandria database.

a b c (Å): 7.1233 7.1233 7.1233
angles (deg): 90.00 90.00 90.00
Last column: nearest neighbours and their distance in Å.
Fractional coordinates of all 16 atoms:
1 Ca 0.0000 0.0000 0.0000  4 Se 3.08, 4 Cd 3.08
2 Ca 0.0000 0.5000 0.5000  4 Se 3.08, 4 Cd 3.08
3 Ca 0.5000 0.0000 0.5000  4 Se 3.08, 4 Cd 3.08
4 Ca 0.5000 0.5000 0.0000  4 Se 3.08, 4 Cd 3.08
5 Cd 0.2500 0.2500 0.2500  4 Ca 3.08, 4 Se 3.08
6 Cd 0.2500 0.7500 0.7500  4 Ca 3.08, 4 Se 3.08
7 Cd 0.7500 0.2500 0.7500  4 Ca 3.08, 4 Se 3.08
8 Cd 0.7500 0.7500 0.2500  4 Ca 3.08, 4 Se 3.08
9 Se 0.0000 0.0000 0.5000  4 Cd 3.08, 4 Se 3.08
10 Se 0.0000 0.5000 0.0000  4 Cd 3.08, 4 Se 3.08
11 Se 0.2500 0.2500 0.7500  4 Se 3.08, 4 Ca 3.08
12 Se 0.2500 0.7500 0.2500  4 Se 3.08, 4 Ca 3.08
13 Se 0.5000 0.0000 0.0000  4 Cd 3.08, 4 Se 3.08
14 Se 0.5000 0.5000 0.5000  4 Cd 3.08, 4 Se 3.08
15 Se 0.7500 0.2500 0.2500  4 Se 3.08, 4 Ca 3.08
16 Se 0.7500 0.7500 0.7500  4 Se 3.08, 4 Ca 3.08

D(E_F) (states/eV per cell): 6.90
Total moment (Bohr magnetons per cell): 0.00
Calculated total energy (eV per atom): -20.53

(4)
First-principles (SCAN) data for a PBEsol-optimized structure of ZnCo2Os, as listed in the Alexandria database.

a b c (Å): 2.6073 2.6073 6.8651
angles (deg): 90.00 90.00 90.00
Last column: nearest neighbours and their distance in Å.
Fractional coordinates of all 4 atoms:
1 Zn 0.0000 0.0000 0.0000  8 Co 2.52, 4 Zn 2.61
2 Co 0.5000 0.5000 0.2505  4 Os 2.52, 4 Zn 2.52, 4 Co 2.61
3 Co 0.5000 0.5000 0.7495  4 Os 2.52, 4 Zn 2.52, 4 Co 2.61
4 Os 0.0000 0.0000 0.5000  8 Co 2.52, 4 Os 2.61

ΔH_f (0 K) (meV per atom): 154.2
D(E_F) (states/eV per cell): 2.86
Total moment (Bohr magnetons per cell): 1.35
Calculated total energy (eV per atom): -29.85

(5)
First-principles (SCAN) data for a PBEsol-optimized structure of La2TeCl, as listed in the Alexandria database.

a b c (Å): 7.5990 7.5990 7.5990
angles (deg): 90.00 90.00 90.00
Last column: nearest neighbours and their distance in Å.
Fractional coordinates of all 16 atoms:
1 La 0.0000 0.0000 0.0000  4 Cl 3.29, 4 La 3.29
2 La 0.0000 0.5000 0.5000  4 Cl 3.29, 4 La 3.29
3 La 0.2500 0.2500 0.2500  4 La 3.29, 4 Te 3.29
4 La 0.2500 0.7500 0.7500  4 La 3.29, 4 Te 3.29
5 La 0.5000 0.0000 0.5000  4 Cl 3.29, 4 La 3.29
6 La 0.5000 0.5000 0.0000  4 Cl 3.29, 4 La 3.29
7 La 0.7500 0.2500 0.7500  4 La 3.29, 4 Te 3.29
8 La 0.7500 0.7500 0.2500  4 La 3.29, 4 Te 3.29
9 Te 0.0000 0.0000 0.5000  4 La 3.29, 4 Cl 3.29
10 Te 0.0000 0.5000 0.0000  4 La 3.29, 4 Cl 3.29
11 Te 0.5000 0.0000 0.0000  4 La 3.29, 4 Cl 3.29
12 Te 0.5000 0.5000 0.5000  4 La 3.29, 4 Cl 3.29
13 Cl 0.2500 0.2500 0.7500  4 La 3.29, 4 Te 3.29
14 Cl 0.2500 0.7500 0.2500  4 La 3.29, 4 Te 3.29
15 Cl 0.7500 0.2500 0.2500  4 La 3.29, 4 Te 3.29
16 Cl 0.7500 0.7500 0.7500  4 La 3.29, 4 Te 3.29

D(E_F) (states/eV per cell): 15.54
Total moment (Bohr magnetons per cell): 10.61
Calculated total energy (eV per atom): -33.66
E above lowest polymorph (eV per atom): 0.923

(6)
First-principles (SCAN) data for a PBEsol-optimized structure of SiP2O7, as listed in the Alexandria database.

a b c (Å): 4.3180 7.1658 6.3051
angles (deg): 90.00 103.77 90.00
Last column: nearest neighbours and their distance in Å.
Fractional coordinates of all 20 atoms:
1 Si 0.0000 0.0000 0.0000  6 O 1.75-1.81
2 Si 0.0000 0.5000 0.5000  6 O 1.75-1.81
3 P 0.3870 0.1120 0.6834  4 O 1.51-1.58
4 P 0.3870 0.3880 0.1834  4 O 1.51-1.58
5 P 0.6130 0.6120 0.8166  4 O 1.51-1.58
6 P 0.6130 0.8880 0.3166  4 O 1.51-1.58
7 O 0.1478 0.5113 0.2615  1 P 1.53
8 O 0.1478 0.9887 0.7615  1 P 1.53
9 O 0.2367 0.2060 0.0909  1 P 1.51
10 O 0.2367 0.2940 0.5909  1 P 1.51
11 O 0.3099 0.6445 0.6383  1 P 1.53
12 O 0.3099 0.8555 0.1383  1 P 1.53
13 O 0.5000 0.0000 0.5000  2 P 1.58
14 O 0.5000 0.5000 0.0000  2 P 1.58
15 O 0.6901 0.1445 0.8617  1 P 1.53
16 O 0.6901 0.3555 0.3617  1 P 1.53
17 O 0.7633 0.7060 0.4091  1 P 1.51
18 O 0.7633 0.7940 0.9091  1 P 1.51
19 O 0.8522 0.0113 0.2385  1 P 1.53
20 O 0.8522 0.4887 0.7385  1 P 1.53

D(E_F) (states/eV per cell): 0.00
Total moment (Bohr magnetons per cell): 0.00
Calculated total energy (eV per atom): -9.96
E above lowest polymorph (eV per atom): 0.055

(7)
First-principles (SCAN) data for a PBEsol-optimized structure of Cd3Rh4, as listed in the Alexandria database.

a b c (Å): 2.8151 2.8151 27.9022
angles (deg): 90.00 90.00 90.00
Last column: nearest neighbours and their distance in Å.
Fractional coordinates of all 14 atoms:
1 Cd 0.0000 0.0000 0.0000  4 Cd 2.82, 8 Rh 2.86
2 Cd 0.0000 0.0000 0.2941  4 Cd 2.82, 4 Rh 2.83
3 Cd 0.0000 0.0000 0.7059  4 Cd 2.82, 4 Rh 2.83
4 Cd 0.5000 0.5000 0.2059  4 Cd 2.82, 4 Rh 2.83
5 Cd 0.5000 0.5000 0.5000  4 Cd 2.82, 8 Rh 2.86
6 Cd 0.5000 0.5000 0.7941  4 Cd 2.82, 4 Rh 2.83
7 Rh 0.0000 0.0000 0.1339  8 Rh 2.61-2.82, 4 Cd 2.83
8 Rh 0.0000 0.0000 0.4264  8 Rh 2.61-2.82, 4 Cd 2.86
9 Rh 0.0000 0.0000 0.5736  8 Rh 2.61-2.82, 4 Cd 2.86
10 Rh 0.0000 0.0000 0.8661  8 Rh 2.61-2.82, 4 Cd 2.83
11 Rh 0.5000 0.5000 0.0736  8 Rh 2.61-2.82, 4 Cd 2.86
12 Rh 0.5000 0.5000 0.3661  8 Rh 2.61-2.82, 4 Cd 2.83
13 Rh 0.5000 0.5000 0.6339  8 Rh 2.61-2.82, 4 Cd 2.83
14 Rh 0.5000 0.5000 0.9264  8 Rh 2.61-2.82, 4 Cd 2.86

ΔH_f (0 K) (meV per atom): -19.5
D(E_F) (states/eV per cell): 10.91
Total moment (Bohr magnetons per cell): 4.47
Calculated total energy (eV per atom): -32.35

(8)
First-principles (SCAN) data for a PBEsol-optimized structure of La2InNi, as listed in the Alexandria database.

a b c (Å): 3.5324 3.5324 7.9955
angles (deg): 90.00 90.00 90.00
Last column: nearest neighbours and their distance in Å.
Fractional coordinates of all 4 atoms:
1 La 0.0000 0.0000 0.2073  4 Ni 3.00, 1 La 3.31
2 La 0.0000 0.0000 0.7927  4 Ni 3.00, 1 La 3.31
3 In 0.5000 0.5000 0.5000  8 La 3.42, 4 In 3.53
4 Ni 0.5000 0.5000 0.0000  8 La 3.00

ΔH_f (0 K) (meV per atom): -419.0
D(E_F) (states/eV per cell): 2.74
Total moment (Bohr magnetons per cell): 0.00
Calculated total energy (eV per atom): -34.36